## a
Li3ZnHg: relaxed, PBE.

a = 7.3035 Å, b = 7.3035 Å, c = 5.6249 Å
α = 105.08°, β = 105.08°, γ = 35.53°
Closest atoms and distances in Å follow each position.
Sites, in units of the cell vectors:
1 Li 0.9997 0.9997 0.2335  4 Li 2.63-2.78, 2 Hg 2.71, 1 Zn 2.78
2 Li 0.0003 0.0003 0.7665  4 Li 2.63-2.78, 2 Hg 2.71, 1 Zn 2.78
3 Li 0.1952 0.1952 0.5338  3 Hg 2.76-2.96, 2 Zn 2.76-2.87, 5 Li 2.78-2.85
4 Li 0.4005 0.4005 0.3111  5 Li 2.72-2.99, 2 Hg 2.77-2.85, 3 Zn 2.79-3.02
5 Li 0.5995 0.5995 0.6889  5 Li 2.72-2.99, 2 Hg 2.77-2.85, 3 Zn 2.79-3.02
6 Li 0.8048 0.8048 0.4662  3 Hg 2.76-2.96, 2 Zn 2.76-2.87, 5 Li 2.78-2.85
7 Zn 0.2014 0.2014 0.0287  2 Zn 2.67, 4 Li 2.76-2.87, 2 Hg 2.89
8 Zn 0.7986 0.7986 0.9713  2 Zn 2.67, 4 Li 2.76-2.87, 2 Hg 2.89
9 Hg 0.3938 0.3938 0.7994  7 Li 2.71-2.96, 2 Zn 2.89
10 Hg 0.6062 0.6062 0.2006  7 Li 2.71-2.96, 2 Zn 2.89

Calculated values
* spin magnetization: 0.00 μB/cell
* space group: C2/m, No. 12
* calculated density: 5.68 Mg/m³



## b
Li3ZnHg: relaxed, PBE.

a = 4.7705 Å, b = 4.7705 Å, c = 4.7705 Å
α = 90.00°, β = 90.00°, γ = 90.00°
Closest atoms and distances in Å follow each position.
Sites, in units of the cell vectors:
1 Li 0.0000 0.0000 0.5000  2 Zn 2.39
2 Li 0.0000 0.5000 0.0000  2 Zn 2.39
3 Li 0.5000 0.0000 0.0000  2 Zn 2.39
4 Zn 0.0000 0.0000 0.0000  6 Li 2.39
5 Hg 0.5000 0.5000 0.5000  12 Li 3.37

Calculated values
* spin magnetization: 0.00 μB/cell
* space group: Pm-3m, No. 221
* calculated density: 4.39 Mg/m³



## c
Li3ZnHg: relaxed, PBE.

a = 6.8840 Å, b = 6.8840 Å, c = 4.6377 Å
α = 90.00°, β = 90.00°, γ = 109.30°
Closest atoms and distances in Å follow each position.
Sites, in units of the cell vectors:
1 Li 0.0000 0.0000 0.0000  2 Li 2.32
2 Li 0.0000 0.0000 0.5000  2 Li 2.32
3 Li 0.1668 0.4851 0.7500  1 Hg 2.68, 3 Zn 2.71-2.98, 1 Li 2.77
4 Li 0.4851 0.1668 0.2500  1 Hg 2.68, 3 Zn 2.71-2.98, 1 Li 2.77
5 Li 0.5149 0.8332 0.7500  1 Hg 2.68, 3 Zn 2.71-2.98, 1 Li 2.77
6 Li 0.8332 0.5149 0.2500  1 Hg 2.68, 3 Zn 2.71-2.98, 1 Li 2.77
7 Zn 0.4521 0.5479 0.2500  2 Zn 2.56, 1 Hg 2.64, 2 Li 2.71
8 Zn 0.5479 0.4521 0.7500  2 Zn 2.56, 1 Hg 2.64, 2 Li 2.71
9 Hg 0.2174 0.7826 0.2500  1 Zn 2.64, 4 Li 2.68-2.70
10 Hg 0.7826 0.2174 0.7500  1 Zn 2.64, 4 Li 2.68-2.70

Calculated values
* spin magnetization: 0.00 μB/cell
* space group: Cmcm, No. 63
* calculated density: 4.59 Mg/m³



Quick one: least stable of them? b



## a
Li2ZnHg4: relaxed, PBE.

a = 6.5147 Å, b = 6.5147 Å, c = 6.8236 Å
α = 90.00°, β = 90.00°, γ = 90.00°
Closest atoms and distances in Å follow each position.
Sites, in units of the cell vectors:
1 Li 0.0000 0.5000 0.0000  8 Hg 2.87
2 Li 0.0000 0.5000 0.5000  8 Hg 2.87
3 Li 0.5000 0.0000 0.0000  8 Hg 2.87
4 Li 0.5000 0.0000 0.5000  8 Hg 2.87
5 Zn 0.0000 0.0000 0.0000  8 Hg 2.87
6 Zn 0.5000 0.5000 0.5000  8 Hg 2.87
7 Hg 0.2500 0.2500 0.2500  2 Zn 2.87, 4 Li 2.87
8 Hg 0.2500 0.2500 0.7500  4 Li 2.87, 2 Zn 2.87
9 Hg 0.2500 0.7500 0.2500  4 Li 2.87, 2 Zn 2.87
10 Hg 0.2500 0.7500 0.7500  4 Li 2.87, 2 Zn 2.87
11 Hg 0.7500 0.2500 0.2500  4 Li 2.87, 2 Zn 2.87
12 Hg 0.7500 0.2500 0.7500  4 Li 2.87, 2 Zn 2.87
13 Hg 0.7500 0.7500 0.2500  2 Zn 2.87, 4 Li 2.87
14 Hg 0.7500 0.7500 0.7500  2 Zn 2.87, 4 Li 2.87

Calculated values
* spin magnetization: 0.00 μB/cell
* space group: I4/mmm, No. 139
* calculated density: 10.11 Mg/m³



## b
Li2ZnHg4: relaxed, PBE.

a = 5.2319 Å, b = 5.2319 Å, c = 13.8022 Å
α = 90.00°, β = 90.00°, γ = 90.00°
Closest atoms and distances in Å follow each position.
Sites, in units of the cell vectors:
1 Li 0.0000 0.0000 0.1019  5 Hg 2.67-2.97, 1 Li 2.81
2 Li 0.0000 0.0000 0.8981  5 Hg 2.67-2.97, 1 Li 2.81
3 Li 0.5000 0.5000 0.3981  5 Hg 2.67-2.97, 1 Li 2.81
4 Li 0.5000 0.5000 0.6019  5 Hg 2.67-2.97, 1 Li 2.81
5 Zn 0.0000 0.0000 0.5000  6 Hg 2.62-2.83
6 Zn 0.5000 0.5000 0.0000  6 Hg 2.62-2.83
7 Hg 0.0000 0.0000 0.2951  1 Li 2.67, 1 Zn 2.83
8 Hg 0.0000 0.0000 0.7049  1 Li 2.67, 1 Zn 2.83
9 Hg 0.0000 0.5000 0.0000  2 Zn 2.62
10 Hg 0.0000 0.5000 0.5000  2 Zn 2.62
11 Hg 0.5000 0.0000 0.0000  2 Zn 2.62
12 Hg 0.5000 0.0000 0.5000  2 Zn 2.62
13 Hg 0.5000 0.5000 0.2049  1 Li 2.67, 1 Zn 2.83
14 Hg 0.5000 0.5000 0.7951  1 Li 2.67, 1 Zn 2.83

Calculated values
* spin magnetization: 0.00 μB/cell
* space group: I4/mmm, No. 139
* calculated density: 7.75 Mg/m³



Quick one: least stable of them? b



## a
Li4ZnHg: relaxed, PBE.

a = 5.1612 Å, b = 5.1612 Å, c = 5.1612 Å
α = 60.00°, β = 60.00°, γ = 60.00°
Closest atoms and distances in Å follow each position.
Sites, in units of the cell vectors:
1 Li 0.1250 0.1250 0.1250  6 Li 2.58
2 Li 0.1250 0.1250 0.6249  6 Li 2.58
3 Li 0.1250 0.6249 0.1250  6 Li 2.58
4 Li 0.6249 0.1250 0.1250  6 Li 2.58
5 Zn 0.7500 0.7500 0.7500  12 Li 3.03, 4 Hg 3.16
6 Hg 0.5000 0.5000 0.5000  12 Li 3.03, 4 Zn 3.16

Calculated values
* spin magnetization: 0.74 μB/cell
* space group: F-43m, No. 216
* calculated density: 5.02 Mg/m³



## b
Li4ZnHg: relaxed, PBE.

a = 8.3696 Å, b = 8.3696 Å, c = 5.3518 Å
α = 90.00°, β = 90.00°, γ = 147.57°
Closest atoms and distances in Å follow each position.
Sites, in units of the cell vectors:
1 Li 0.0396 0.9604 0.5000  1 Li 2.53, 2 Zn 2.72-2.80
2 Li 0.1928 0.8072 0.6110  4 Li 2.37-2.53, 1 Zn 2.57
3 Li 0.2867 0.7133 0.2685  3 Li 2.37-2.51
4 Li 0.4522 0.5478 0.3325  5 Li 2.68-2.94, 2 Zn 2.92, 2 Hg 2.96
5 Li 0.5478 0.4522 0.8325  5 Li 2.68-2.94, 2 Zn 2.92, 2 Hg 2.96
6 Li 0.7133 0.2867 0.7685  3 Li 2.37-2.51
7 Li 0.8072 0.1928 0.1110  4 Li 2.37-2.53, 1 Zn 2.57
8 Li 0.9604 0.0396 0.0000  1 Li 2.53, 2 Zn 2.72-2.80
9 Zn 0.1290 0.8710 0.0503  4 Li 2.57-2.80, 2 Hg 2.74
10 Zn 0.8710 0.1290 0.5503  4 Li 2.57-2.80, 2 Hg 2.74
11 Hg 0.3636 0.6364 0.8180  8 Li 2.71-2.97, 2 Zn 2.74
12 Hg 0.6364 0.3636 0.3180  8 Li 2.71-2.97, 2 Zn 2.74

Calculated values
* spin magnetization: 0.00 μB/cell
* space group: Cmc2_1, No. 36
* calculated density: 4.85 Mg/m³



Quick one: least stable of them? a



## a
LiZnHg4: relaxed, PBE.

a = 6.0438 Å, b = 6.0438 Å, c = 6.0438 Å
α = 60.00°, β = 60.00°, γ = 60.00°
Closest atoms and distances in Å follow each position.
Sites, in units of the cell vectors:
1 Li 0.0000 0.0000 0.0000  12 Hg 3.54, 4 Zn 3.70
2 Zn 0.7500 0.7500 0.7500  12 Hg 3.54, 4 Li 3.70
3 Hg 0.3748 0.3748 0.3748  6 Hg 3.02-3.03
4 Hg 0.3748 0.3748 0.8755  6 Hg 3.02-3.03
5 Hg 0.3748 0.8755 0.3748  6 Hg 3.02-3.03
6 Hg 0.8755 0.3748 0.3748  6 Hg 3.02-3.03

Calculated values
* spin magnetization: 0.00 μB/cell
* space group: F-43m, No. 216
* calculated density: 9.30 Mg/m³



## b
LiZnHg4: relaxed, PBE.

a = 5.9204 Å, b = 3.3496 Å, c = 13.7995 Å
α = 90.00°, β = 97.76°, γ = 90.00°
Closest atoms and distances in Å follow each position.
Sites, in units of the cell vectors:
1 Li 0.0000 0.0000 0.0000  6 Hg 2.84-2.86
2 Li 0.5000 0.5000 0.0000  6 Hg 2.84-2.86
3 Zn 0.0000 0.5000 0.5000  6 Hg 2.92-2.94
4 Zn 0.5000 0.0000 0.5000  6 Hg 2.92-2.94
5 Hg 0.1206 0.5000 0.8484  3 Li 2.84-2.86
6 Hg 0.2159 0.0000 0.6590  3 Zn 2.92-2.94, 2 Hg 3.22
7 Hg 0.2841 0.5000 0.3410  3 Zn 2.92-2.94, 2 Hg 3.22
8 Hg 0.3794 0.0000 0.1516  3 Li 2.84-2.86
9 Hg 0.6206 0.0000 0.8484  3 Li 2.84-2.86
10 Hg 0.7159 0.5000 0.6590  3 Zn 2.92-2.94, 2 Hg 3.22
11 Hg 0.7841 0.0000 0.3410  3 Zn 2.92-2.94, 2 Hg 3.22
12 Hg 0.8794 0.5000 0.1516  3 Li 2.84-2.86

Calculated values
* spin magnetization: 0.00 μB/cell
* space group: C2/m, No. 12
* calculated density: 10.71 Mg/m³



Quick one: least stable of them? a



## a
Li8ZnHg2: relaxed, PBE.

a = 7.3593 Å, b = 7.3593 Å, c = 7.3593 Å
α = 144.06°, β = 120.92°, γ = 71.13°
Closest atoms and distances in Å follow each position.
Sites, in units of the cell vectors:
1 Li 0.1399 0.1399 0.0000  8 Li 2.80-3.12, 2 Zn 2.82, 2 Hg 2.91
2 Li 0.1484 0.3544 0.7940  1 Zn 2.75, 3 Hg 2.76-2.82, 4 Li 2.86-2.99
3 Li 0.3085 0.0000 0.3085  7 Li 2.78-2.86, 2 Hg 2.85
4 Li 0.4396 0.6456 0.7940  1 Zn 2.75, 3 Hg 2.76-2.82, 4 Li 2.86-2.99
5 Li 0.5604 0.3544 0.2060  1 Zn 2.75, 3 Hg 2.76-2.82, 4 Li 2.86-2.99
6 Li 0.6915 0.0000 0.6915  7 Li 2.78-2.86, 2 Hg 2.85
7 Li 0.8516 0.6456 0.2060  1 Zn 2.75, 3 Hg 2.76-2.82, 4 Li 2.86-2.99
8 Li 0.8601 0.8601 0.0000  8 Li 2.80-3.12, 2 Zn 2.82, 2 Hg 2.91
9 Zn 0.0000 0.5000 0.5000  8 Li 2.75-2.82
10 Hg 0.2924 0.7924 0.5000  10 Li 2.76-2.91
11 Hg 0.7076 0.2076 0.5000  10 Li 2.76-2.91

Calculated values
* spin magnetization: 0.00 μB/cell
* space group: Immm, No. 71
* calculated density: 4.39 Mg/m³



## b
Li8ZnHg2: relaxed, PBE.

a = 6.3500 Å, b = 6.3500 Å, c = 7.1207 Å
α = 110.11°, β = 110.11°, γ = 48.73°
Closest atoms and distances in Å follow each position.
Sites, in units of the cell vectors:
1 Li 0.1136 0.1136 0.0040  2 Li 2.57-2.61, 1 Hg 2.69
2 Li 0.1546 0.6576 0.6090  3 Li 2.60-2.90, 2 Hg 2.79-2.85, 1 Zn 2.90
3 Li 0.2496 0.2496 0.7901  1 Li 2.57, 1 Zn 2.71, 2 Hg 2.87
4 Li 0.3424 0.8454 0.3910  3 Li 2.60-2.90, 2 Hg 2.79-2.85, 1 Zn 2.90
5 Li 0.6576 0.1546 0.6090  3 Li 2.60-2.90, 2 Hg 2.79-2.85, 1 Zn 2.90
6 Li 0.7504 0.7504 0.2099  1 Li 2.57, 1 Zn 2.71, 2 Hg 2.87
7 Li 0.8454 0.3424 0.3910  3 Li 2.60-2.90, 2 Hg 2.79-2.85, 1 Zn 2.90
8 Li 0.8864 0.8864 0.9960  2 Li 2.57-2.61, 1 Hg 2.69
9 Zn 0.5000 0.5000 0.0000  10 Li 2.71-2.93, 2 Hg 2.79
10 Hg 0.3584 0.3584 0.2412  8 Li 2.69-2.97, 1 Zn 2.79
11 Hg 0.6416 0.6416 0.7588  8 Li 2.69-2.97, 1 Zn 2.79

Calculated values
* spin magnetization: 0.00 μB/cell
* space group: C2/m, No. 12
* calculated density: 4.34 Mg/m³



Quick one: least stable of them? b